No. 1
Pd2RuPt | the Alexandria database | PBE | relaxed; M_tot = 2.183 μB per cell; formation energy = 1.1 eV per formula unit; V = 61.6 Å³/cell; distance to the lowest polymorph of the same formula = 0.245 eV per atom
1.0
0.000 3.135 3.135
3.135 0.000 3.135
3.135 3.135 0.000
Pd Ru Pt
2 1 1
Direct
0.250 0.250 0.250 Pd
0.750 0.750 0.750 Pd
0.000 0.000 0.000 Ru
0.500 0.500 0.500 Pt


No. 2
Pd2RuPt2 | the Alexandria database | PBE | relaxed; M_tot = 3.997 μB per cell; formation energy = 1.9 eV per formula unit; V = 166.6 Å³/cell; distance to the lowest polymorph of the same formula = 0.368 eV per atom
1.0
6.671 0.000 0.000
0.000 6.671 0.000
0.000 0.000 3.744
Pd Ru Pt
4 2 4
Direct
0.161 0.339 0.000 Pd
0.339 0.839 0.000 Pd
0.661 0.161 0.000 Pd
0.839 0.661 0.000 Pd
0.000 0.000 0.500 Ru
0.500 0.500 0.500 Ru
0.140 0.640 0.500 Pt
0.360 0.140 0.500 Pt
0.640 0.860 0.500 Pt
0.860 0.360 0.500 Pt